Computed, not measured: a relaxed structure of AlS at the PBE-GGA level of DFT.

For the volume, the calculation gives 27.49 Å³ per atom. The crystal system is cubic. The size of the total moment comes out at 0.09 μB per formula unit. As for the symmetry: Pm-3n (223). The value obtained for the uncorrected formation energy is -0.4 eV/f.u.

a = 6.909 Å, b = 6.909 Å, c = 6.909 Å
α = 90.00°, β = 90.00°, γ = 90.00°
Positions (direct):
Al  0.000  0.250  0.500
Al  0.000  0.750  0.500
Al  0.250  0.500  0.000
Al  0.500  0.000  0.250
Al  0.500  0.000  0.750
Al  0.750  0.500  0.000
S  0.000  0.500  0.250
S  0.000  0.500  0.750
S  0.250  0.000  0.500
S  0.500  0.250  0.000
S  0.500  0.750  0.000
S  0.750  0.000  0.500